(1)
## Pr8Rh3Br4F (PBE)

Data for Pr8Rh3Br4F after structural relaxation.

## Properties
Its energy relative to the elements, uncorrected is -1197.9 meV/atom. Its space group is No. 166. The total magnetic moment is 0.00 μB per cell.

Cell lengths 8.252, 9.216, 8.254 Å; angles 116.61, 119.99, 90.00 degrees
Element x y z (fractional)
Rh1 0.000 0.500 0.500
Pr1 0.237 0.699 0.962
Pr2 0.763 0.301 0.526
Br1 0.000 0.000 0.500
Rh2 0.500 0.500 0.500
Br2 0.500 0.000 0.500
F1 0.000 0.500 0.000
Pr3 0.724 0.699 0.962
Br3 0.000 0.000 0.000
Rh3 0.500 0.500 0.000
Pr4 0.268 0.305 0.537
Pr5 0.732 0.695 0.463
Pr6 0.276 0.301 0.038
Pr7 0.763 0.301 0.038
Pr8 0.237 0.699 0.474
Br4 0.500 0.000 0.000

=====

(2)
## Cs2NaCoC6N6 (PBE)

Data for Cs2NaCoC6N6 after structural relaxation.

## Properties
Its energy relative to the elements, uncorrected is -168.2 meV/atom. Its space group is No. 14. The total magnetic moment is 0.36 μB per cell.

Cell lengths 7.798, 7.593, 13.281 Å; angles 54.99, 90.00, 90.00 degrees
Element x y z (fractional)
C1 0.695 0.885 0.474
C2 0.359 0.823 0.478
Cs1 0.547 0.762 0.250
Cs2 0.953 0.762 0.750
C3 0.010 0.216 0.831
C4 0.305 0.115 0.526
N1 0.683 0.815 0.958
C5 0.859 0.177 0.022
N2 0.483 0.351 0.225
N3 0.183 0.185 0.542
N4 0.817 0.815 0.458
C6 0.490 0.216 0.331
N5 0.517 0.649 0.775
C7 0.141 0.823 0.978
N6 0.317 0.185 0.042
Co1 0.000 0.000 0.000
Co2 0.500 0.000 0.500
N7 0.017 0.351 0.725
Na1 0.000 0.500 0.500
C8 0.990 0.784 0.169
Na2 0.500 0.500 0.000
C9 0.805 0.885 0.974
N8 0.772 0.287 0.036
N9 0.272 0.713 0.464
Cs3 0.453 0.238 0.750
N10 0.983 0.649 0.275
Cs4 0.047 0.238 0.250
C10 0.195 0.115 0.026
C11 0.510 0.784 0.669
N11 0.728 0.287 0.536
C12 0.641 0.177 0.522
N12 0.228 0.713 0.964

=====

(3)
## CsNdGaTe3 (PBE)

Data for CsNdGaTe3 after structural relaxation.

## Properties
Its energy relative to the elements, uncorrected is -994.3 meV/atom. Its space group is No. 11. The total magnetic moment is 0.00 μB per cell.

Cell lengths 4.954, 10.089, 10.842 Å; angles 109.44, 90.00, 90.00 degrees
Element x y z (fractional)
Te1 0.750 0.881 0.146
Nd1 0.750 0.333 0.863
Te2 0.750 0.472 0.166
Cs1 0.250 0.208 0.244
Nd2 0.250 0.667 0.137
Cs2 0.750 0.792 0.756
Ga1 0.750 0.897 0.404
Te3 0.250 0.528 0.834
Te4 0.750 0.195 0.541
Te5 0.250 0.805 0.459
Ga2 0.250 0.103 0.596
Te6 0.250 0.119 0.854

=====

(4)
## K2AlP (PBE)

Data for K2AlP after structural relaxation.

## Properties
As for the energy of formation from the pure elements: 0.2879 eV/atom. Its space group is No. 123. The total magnetic moment is 0.00 μB per cell. The energy above the lowest structure with this stoichiometry comes out at 524 meV/atom.

Cell lengths 3.178, 3.178, 10.845 Å; angles 90.00, 90.00, 90.00 degrees
Element x y z (fractional)
K1 0.000 0.000 0.038
K2 0.000 0.000 0.462
P1 0.500 0.500 0.250
Al1 0.500 0.500 0.750

=====

(5)
## Cu2PSe (PBE)

Data for Cu2PSe after structural relaxation.

## Properties
Its energy relative to the elements, uncorrected is 570.3 meV/atom. Its space group is No. 216. The total magnetic moment is 0.00 μB per cell.

Cell lengths 4.418, 4.418, 4.418 Å; angles 60.00, 60.00, 60.00 degrees
Element x y z (fractional)
Cu1 0.750 0.750 0.750
P1 0.500 0.500 0.500
Se1 0.250 0.250 0.250
Cu2 0.000 0.000 0.000

=====

(6)
## PmGePd2 (PBE)

Data for PmGePd2 after structural relaxation.

## Properties
As for the energy of formation from the pure elements: -0.5813 eV/atom. Its space group is No. 123. The total magnetic moment is 0.00 μB per cell.

Cell lengths 3.940, 4.442, 4.442 Å; angles 90.00, 90.00, 90.00 degrees
Element x y z (fractional)
Pm1 0.500 0.500 0.500
Pd1 0.000 0.000 0.500
Ge1 0.500 0.000 0.000
Pd2 0.000 0.500 0.000

=====

| no. | Fermi-level density of states (states/eV/atom) |
| --- | --- |
| 1 | 0.48 |
| 2 | 0.00 |
| 3 | 0.30 |
| 4 | 0.38 |
| 5 | 0.64 |
| 6 | 0.61 |